DFT (GGA+U) results for an optimized crystal structure of Sn2MoCO.

Values from the calculation:
VASP energy: -4.71 eV/atom
magnetic moment: 0.654 μB/atom
symmetry: No. 123
mass density: 6.8 g cm⁻³
N(E_F): 2.38 states/eV/f.u.

```
5
Lattice="5.1543 0.0000 0.0000 0.0000 5.1543 0.0000 0.0000 0.0000 3.3189" Properties=species:S:1:pos:R:3 pbc="T T T"
Sn 0.0000 2.5772 0.0000
Sn 2.5772 0.0000 0.0000
Mo 0.0000 0.0000 1.6594
C 2.5772 2.5772 1.6594
O 2.5772 2.5772 0.0000
```